# 1
Entry from Alexandria via LeMat-Bulk: an optimized crystal structure of In2IrPt (PBE).

```
data_In2IrPt
_symmetry_space_group_name_H-M 'F -4 3 m'
_symmetry_Int_Tables_number 216
_symmetry_space_group_name_Hall 'F -4 2 3'
_cell_length_a 6.603
_cell_length_b 6.603
_cell_length_c 6.603
_cell_angle_alpha 90.00
_cell_angle_beta 90.00
_cell_angle_gamma 90.00
loop_
_atom_site_label
_atom_site_type_symbol
_atom_site_fract_x
_atom_site_fract_y
_atom_site_fract_z
In1 In 0.000 0.000 0.000
In2 In 0.250 0.250 0.250
Ir1 Ir 0.250 0.250 0.750
Pt1 Pt 0.000 0.000 0.500
```

Properties
VASP energy = -79.93 eV/cell
DOS at the Fermi energy = 0.3391 states/eV per atom
Energy relative to the lowest polymorph listed for this composition = 321 meV per atom
Energy of formation from the pure elements = 99 meV/atom



# 2
Entry from Alexandria via LeMat-Bulk: an optimized crystal structure of SmTmSi (PBE).

```
data_SmTmSi
_symmetry_space_group_name_H-M 'F -4 3 m'
_symmetry_Int_Tables_number 216
_symmetry_space_group_name_Hall 'F -4 2 3'
_cell_length_a 6.880
_cell_length_b 6.880
_cell_length_c 6.880
_cell_angle_alpha 90.00
_cell_angle_beta 90.00
_cell_angle_gamma 90.00
loop_
_atom_site_label
_atom_site_type_symbol
_atom_site_fract_x
_atom_site_fract_y
_atom_site_fract_z
Sm1 Sm 0.000 0.000 0.000
Tm1 Tm 0.000 0.000 0.500
Si1 Si 0.250 0.250 0.750
```

Properties
VASP energy = -63.82 eV/cell
DOS at the Fermi energy = 0.7912 states/eV per atom
Energy relative to the lowest polymorph listed for this composition = 74 meV per atom



# 3
Entry from Alexandria via LeMat-Bulk: an optimized crystal structure of Ga2RhBr2 (PBE).

```
data_Ga2RhBr2
_symmetry_space_group_name_H-M 'P 4/m b m'
_symmetry_Int_Tables_number 127
_symmetry_space_group_name_Hall '-P 4 2ab'
_cell_length_a 7.067
_cell_length_b 7.067
_cell_length_c 5.064
_cell_angle_alpha 90.00
_cell_angle_beta 90.00
_cell_angle_gamma 90.00
loop_
_atom_site_label
_atom_site_type_symbol
_atom_site_fract_x
_atom_site_fract_y
_atom_site_fract_z
Ga1 Ga 0.236 0.264 0.000
Rh1 Rh 0.000 0.000 0.000
Br1 Br 0.173 0.673 0.500
```

Properties
VASP energy = -33.53 eV/cell
DOS at the Fermi energy = 0.3400 states/eV per atom
Energy relative to the lowest polymorph listed for this composition = 0 meV per atom



# 4
Entry from Alexandria via LeMat-Bulk: an optimized crystal structure of BeAl2CdBi (PBE).

```
data_BeAl2CdBi
_symmetry_space_group_name_H-M 'P 4/m m m'
_symmetry_Int_Tables_number 123
_symmetry_space_group_name_Hall '-P 4 2'
_cell_length_a 5.600
_cell_length_b 5.600
_cell_length_c 5.682
_cell_angle_alpha 90.00
_cell_angle_beta 90.00
_cell_angle_gamma 90.00
loop_
_atom_site_label
_atom_site_type_symbol
_atom_site_fract_x
_atom_site_fract_y
_atom_site_fract_z
Be1 Be 0.000 0.000 0.000
Al1 Al 0.000 0.500 0.500
Cd1 Cd 0.500 0.500 0.000
Bi1 Bi 0.500 0.500 0.500
```

Properties
VASP energy = -9.34 eV/cell
DOS at the Fermi energy = 0.5734 states/eV per atom
Energy of formation from the pure elements = 1333 meV/atom



# 5
Entry from Alexandria via LeMat-Bulk: an optimized crystal structure of TiCrSnRu2 (PBE).

```
data_TiCrSnRu2
_symmetry_space_group_name_H-M 'P 4/m m m'
_symmetry_Int_Tables_number 123
_symmetry_space_group_name_Hall '-P 4 2'
_cell_length_a 4.756
_cell_length_b 4.756
_cell_length_c 4.864
_cell_angle_alpha 90.00
_cell_angle_beta 90.00
_cell_angle_gamma 90.00
loop_
_atom_site_label
_atom_site_type_symbol
_atom_site_fract_x
_atom_site_fract_y
_atom_site_fract_z
Ti1 Ti 0.000 0.000 0.000
Cr1 Cr 0.500 0.500 0.000
Sn1 Sn 0.000 0.000 0.500
Ru1 Ru 0.000 0.500 0.500
```

Properties
VASP energy = -30.02 eV/cell
DOS at the Fermi energy = 1.4443 states/eV per atom
Energy of formation from the pure elements = 2011 meV/atom



Question: Which formula does entry 4 have?
Answer: BeAl2CdBi